Entry 1:
Computed, not measured: an optimized crystal structure of Tb2GaSi3 at the PBE level of DFT.

Results
DOS(E_F) (states/eV/f.u.): 2.1
Polymorph energy (0 for the lowest one) (kJ per mole of atoms): 0.0
M_tot (μB/cell): 0.0

CIF file:
```
data_Tb2GaSi3
_chemical_formula_sum 'Tb2 Ga1 Si3'
_symmetry_space_group_name_H-M 'P 1'
_symmetry_Int_Tables_number 1
_cell_length_a 7.5225
_cell_length_b 7.5225
_cell_length_c 7.5225
_cell_angle_alpha 148.52
_cell_angle_beta 147.55
_cell_angle_gamma 45.84
loop_
_symmetry_equiv_pos_as_xyz
'x,y,z'
loop_
_atom_site_label
_atom_site_type_symbol
_atom_site_fract_x
_atom_site_fract_y
_atom_site_fract_z
Tb1 Tb 0.0000 0.0000 0.0000
Tb2 Tb 0.7408 0.2408 0.5000
Ga1 Ga 0.4126 0.4126 0.0000
Si1 Si 0.1583 0.6583 0.5000
Si2 Si 0.3249 0.8249 0.5000
Si3 Si 0.5830 0.5830 0.0000
```

***

Entry 2:
Computed, not measured: an optimized crystal structure of PtCCl2 at the PBE level of DFT.

Results
DOS(E_F) (states/eV/f.u.): 2.1
Polymorph energy (0 for the lowest one) (kJ per mole of atoms): 0.0
M_tot (μB/cell): 0.0

CIF file:
```
data_PtCCl2
_chemical_formula_sum 'Pt1 C1 Cl2'
_symmetry_space_group_name_H-M 'P 1'
_symmetry_Int_Tables_number 1
_cell_length_a 9.2995
_cell_length_b 9.2995
_cell_length_c 9.2995
_cell_angle_alpha 17.85
_cell_angle_beta 17.85
_cell_angle_gamma 17.85
loop_
_symmetry_equiv_pos_as_xyz
'x,y,z'
loop_
_atom_site_label
_atom_site_type_symbol
_atom_site_fract_x
_atom_site_fract_y
_atom_site_fract_z
Pt1 Pt 0.0000 0.0000 0.0000
C1 C 0.5000 0.5000 0.5000
Cl1 Cl 0.4419 0.4419 0.4419
Cl2 Cl 0.5581 0.5581 0.5581
```